Here is an optimized crystal structure of Np4Ta3FeC8 from Alexandria. Energies are from PBE.

```
16
Lattice="3.238 1.869 5.543 -3.238 1.869 5.543 0.000 -3.738 5.543" Properties=species:S:1:pos:R:3 pbc="T T T"
Np 0.000 0.000 0.000
Np -1.619 -0.935 5.543
Np -1.619 0.935 11.087
Np 0.000 1.869 5.543
Ta -3.238 0.000 8.315
Ta -1.619 0.935 2.772
Ta 1.619 0.935 2.772
Fe 0.000 0.000 8.315
C 0.000 0.000 4.013
C -1.612 -0.930 9.558
C 0.000 -1.861 7.071
C -1.612 0.930 7.071
C 1.612 -0.930 9.558
C 0.000 1.861 9.558
C 1.612 0.930 7.071
C 0.000 0.000 12.617
```

Output
Calculated formation energy: -2.1 eV/f.u.